No. 1
Al5Cu PBE relaxed; D(E_F) = 1.62 states/eV/cell; space-group type = No. 65; calculated formation energy = -0.2 eV/f.u.; spin magnetization = 0.00 μB/f.u.; volume = 93 Å³/cell
1.0
-5.327 1.449 -2.743
3.144 -4.779 2.297
-1.672 0.618 3.574
Al Cu
5 1
Direct
0.808 0.192 0.500 Al
0.636 0.364 0.000 Al
0.472 0.528 0.500 Al
0.309 0.691 0.000 Al
0.136 0.864 0.500 Al
0.972 0.028 0.000 Cu

***

No. 2
Al3Cu PBE relaxed; D(E_F) = 0.92 states/eV/cell; space-group type = No. 25; calculated formation energy = 0.0 eV/f.u.; spin magnetization = 0.00 μB/f.u.; volume = 64 Å³/cell
1.0
-1.259 0.126 2.473
1.344 -2.362 0.805
6.173 4.507 2.914
Al Cu
3 1
Direct
0.000 0.500 0.467 Al
0.500 0.500 0.174 Al
0.500 0.000 0.717 Al
0.000 0.000 0.976 Cu

***

No. 3
Al3Cu PBE relaxed; D(E_F) = 1.31 states/eV/cell; space-group type = No. 166; calculated formation energy = -0.3 eV/f.u.; spin magnetization = 0.00 μB/f.u.; volume = 61 Å³/cell
1.0
8.746 -0.011 -0.007
8.284 2.806 -0.007
8.284 1.359 2.455
Al Cu
3 1
Direct
0.745 0.745 0.745 Al
0.500 0.500 0.500 Al
0.255 0.255 0.255 Al
0.000 0.000 0.000 Cu

***

Which formula does entry 1 have?
Al5Cu